Record 1
DFT (PBE-GGA) results for an optimized crystal structure of K2HgBiAu.

a = 6.4716 Å, b = 6.4716 Å, c = 5.3698 Å
α = 90.00°, β = 90.00°, γ = 90.00°
Closest atoms and distances in Å follow each position.
Element x y z (fractional)
K1 0.0000 0.5000 0.0000  2 Au 3.24
K2 0.5000 0.0000 0.0000  2 Au 3.24
Hg1 0.0000 0.0000 0.5000  8 K 4.20, 4 Bi 4.58
Bi1 0.5000 0.5000 0.5000  2 Au 2.68
Au1 0.5000 0.5000 0.0000  2 Bi 2.68

**ΔH_f (0 K)**: -90 kJ/mol of formula units
**Theoretical density**: 5.056 g/cm³
**Energy**: -0.0778 hartree per atom

=====

Record 2
DFT (PBE-GGA) results for an optimized crystal structure of KHgBi3Au.

a = 9.7140 Å, b = 9.7140 Å, c = 7.0531 Å
α = 90.00°, β = 90.00°, γ = 137.22°
Closest atoms and distances in Å follow each position.
Element x y z (fractional)
K1 0.1926 0.8074 0.7500  4 Bi 3.62-3.77, 2 Hg 3.84
K2 0.8074 0.1926 0.2500  4 Bi 3.62-3.77, 2 Hg 3.84
Hg1 0.1084 0.8916 0.2500  5 Bi 2.84-3.15
Hg2 0.8916 0.1084 0.7500  5 Bi 2.84-3.15
Bi1 0.2434 0.2434 0.0000  2 Au 2.92, 2 Hg 3.15
Bi2 0.2434 0.2434 0.5000  2 Au 2.92, 2 Hg 3.15
Bi3 0.2656 0.7344 0.2500  1 Au 2.79, 1 Hg 2.84
Bi4 0.7344 0.2656 0.7500  1 Au 2.79, 1 Hg 2.84
Bi5 0.7566 0.7566 0.0000  2 Au 2.92, 2 Hg 3.15
Bi6 0.7566 0.7566 0.5000  2 Au 2.92, 2 Hg 3.15
Au1 0.4200 0.5800 0.2500  5 Bi 2.79-2.92
Au2 0.5800 0.4200 0.7500  5 Bi 2.79-2.92

**ΔH_f (0 K)**: 21 kJ/mol of formula units
**Theoretical density**: 7.814 g/cm³
**Energy**: -0.0986 hartree per atom

=====

Record 3
DFT (PBE-GGA) results for an optimized crystal structure of KHgBiAu.

a = 5.3802 Å, b = 5.3802 Å, c = 5.3802 Å
α = 60.00°, β = 60.00°, γ = 60.00°
Closest atoms and distances in Å follow each position.
Element x y z (fractional)
K1 0.0000 0.0000 0.0000  4 Hg 3.29, 4 Au 3.29
Hg1 0.2500 0.2500 0.2500  4 Bi 3.29, 4 K 3.29
Bi1 0.5000 0.5000 0.5000  4 Hg 3.29, 4 Au 3.29
Au1 0.7500 0.7500 0.7500  4 K 3.29, 4 Bi 3.29

**ΔH_f (0 K)**: -36 kJ/mol of formula units
**Theoretical density**: 9.736 g/cm³
**Energy**: -0.0821 hartree per atom

=====

Record 4
DFT (PBE-GGA) results for an optimized crystal structure of LaHgBiAu.

a = 5.3217 Å, b = 5.3217 Å, c = 5.3217 Å
α = 60.00°, β = 60.00°, γ = 60.00°
Closest atoms and distances in Å follow each position.
Element x y z (fractional)
La1 0.0000 0.0000 0.0000  4 Hg 3.26, 4 Au 3.26
Hg1 0.7500 0.7500 0.7500  4 La 3.26, 4 Bi 3.26
Bi1 0.5000 0.5000 0.5000  4 Hg 3.26, 4 Au 3.26
Au1 0.2500 0.2500 0.2500  4 La 3.26, 4 Bi 3.26

**ΔH_f (0 K)**: -215 kJ/mol of formula units
**Theoretical density**: 11.615 g/cm³
**Energy**: -0.1343 hartree per atom

=====

Record 5
DFT (PBE-GGA) results for an optimized crystal structure of LiHgBiAu.

a = 4.9902 Å, b = 4.9902 Å, c = 4.9902 Å
α = 60.00°, β = 60.00°, γ = 60.00°
Closest atoms and distances in Å follow each position.
Element x y z (fractional)
Li1 0.0000 0.0000 0.0000  4 Bi 3.06, 4 Hg 3.06
Hg1 0.2500 0.2500 0.2500  4 Li 3.06, 4 Au 3.06
Bi1 0.7500 0.7500 0.7500  4 Li 3.06, 4 Au 3.06
Au1 0.5000 0.5000 0.5000  4 Hg 3.06, 4 Bi 3.06

**ΔH_f (0 K)**: -54 kJ/mol of formula units
**Theoretical density**: 11.593 g/cm³
**Energy**: -0.0912 hartree per atom

=====

Record 6
DFT (PBE-GGA) results for an optimized crystal structure of Li2HgBiAu.

a = 5.3745 Å, b = 5.8257 Å, c = 6.9055 Å
α = 90.00°, β = 90.00°, γ = 90.00°
Closest atoms and distances in Å follow each position.
Element x y z (fractional)
Li1 0.2500 0.2424 0.1918  1 Au 2.59, 1 Li 2.82
Li2 0.2500 0.7576 0.1918  1 Au 2.59, 1 Li 2.82
Li3 0.7500 0.2424 0.8082  1 Au 2.59, 1 Li 2.82
Li4 0.7500 0.7576 0.8082  1 Au 2.59, 1 Li 2.82
Hg1 0.0000 0.5000 0.5000  2 Hg 2.69, 4 Li 2.93, 2 Au 2.99
Hg2 0.5000 0.5000 0.5000  2 Hg 2.69, 4 Li 2.93, 2 Au 2.99
Bi1 0.2500 0.0000 0.7458  6 Li 3.07-3.39, 2 Au 3.07
Bi2 0.7500 0.0000 0.2542  6 Li 3.07-3.39, 2 Au 3.07
Au1 0.2500 0.5000 0.8867  2 Li 2.59
Au2 0.7500 0.5000 0.1133  2 Li 2.59

**ΔH_f (0 K)**: -114 kJ/mol of formula units
**Theoretical density**: 9.530 g/cm³
**Energy**: -0.0916 hartree per atom

=====

Record 7
DFT (PBE-GGA) results for an optimized crystal structure of LiHgBiAu.

a = 3.2429 Å, b = 3.2429 Å, c = 9.0560 Å
α = 90.00°, β = 90.00°, γ = 90.00°
Closest atoms and distances in Å follow each position.
Element x y z (fractional)
Li1 0.0000 0.0000 0.0000  4 Au 2.64, 4 Hg 2.90
Hg1 0.5000 0.5000 0.1968  4 Li 2.90, 1 Au 3.09, 1 Bi 3.10, 4 Hg 3.24
Bi1 0.5000 0.5000 0.5392  1 Au 2.86, 1 Hg 3.10
Au1 0.5000 0.5000 0.8551  4 Li 2.64, 1 Bi 2.86

**ΔH_f (0 K)**: -64 kJ/mol of formula units
**Theoretical density**: 10.697 g/cm³
**Energy**: -0.0922 hartree per atom

=====

Record 8
DFT (PBE-GGA) results for an optimized crystal structure of Li5Hg2BiAu2.

a = 11.0348 Å, b = 11.0348 Å, c = 3.2872 Å
α = 90.00°, β = 90.00°, γ = 90.00°
Closest atoms and distances in Å follow each position.
Element x y z (fractional)
Li1 0.0000 0.5000 0.0000  4 Au 2.64, 4 Hg 2.94
Li2 0.1174 0.1803 0.0000  2 Au 2.64, 2 Bi 2.89
Li3 0.1803 0.8826 0.0000  2 Au 2.64, 2 Bi 2.89
Li4 0.3197 0.3826 0.0000  2 Au 2.64, 2 Bi 2.89
Li5 0.3826 0.6803 0.0000  2 Au 2.64, 2 Bi 2.89
Li6 0.5000 0.0000 0.0000  4 Au 2.64, 4 Hg 2.94
Li7 0.6174 0.3197 0.0000  2 Au 2.64, 2 Bi 2.89
Li8 0.6803 0.6174 0.0000  2 Au 2.64, 2 Bi 2.89
Li9 0.8197 0.1174 0.0000  2 Au 2.64, 2 Bi 2.89
Li10 0.8826 0.8197 0.0000  2 Au 2.64, 2 Bi 2.89
Hg1 0.1563 0.6563 0.5000  6 Li 2.94-3.00, 3 Au 3.20-3.29, 2 Hg 3.29
Hg2 0.3437 0.1563 0.5000  6 Li 2.94-3.00, 3 Au 3.20-3.29, 2 Hg 3.29
Hg3 0.6563 0.8437 0.5000  6 Li 2.94-3.00, 3 Au 3.20-3.29, 2 Hg 3.29
Hg4 0.8437 0.3437 0.5000  6 Li 2.94-3.00, 3 Au 3.20-3.29, 2 Hg 3.29
Bi1 0.0000 0.0000 0.5000  8 Li 2.89
Bi2 0.5000 0.5000 0.5000  8 Li 2.89
Au1 0.1327 0.3673 0.5000  6 Li 2.64
Au2 0.3673 0.8673 0.5000  6 Li 2.64
Au3 0.6327 0.1327 0.5000  6 Li 2.64
Au4 0.8673 0.6327 0.5000  6 Li 2.64

**ΔH_f (0 K)**: -360 kJ/mol of formula units
**Theoretical density**: 8.619 g/cm³
**Energy**: -0.0895 hartree per atom